First-principles (PBE-GGA) data for a geometry-optimized DyTm3Ir3 structure, as listed in the Alexandria database.

Computed properties:
Electronic total energy: -7.1615 eV per atom
ρ: 13.355 g/cm³
Density of states at the Fermi level: 19.5 states/eV per cell
Total magnetic moment: 0.00 μB per formula unit

abc: 9.5929 9.5929 5.8318
angles: 90.00 90.00 120.00
With the nearest neighbours (Å) after each atom.
Space group R-3m (No. 166, hexagonal axes)
Inequivalent atoms, fractional coordinates:
Dy: 0.0000 0.0000 0.0000 (multiplicity 3)  6 Ir 2.93
Tm: 0.0000 0.5000 0.0000 (multiplicity 9)  6 Ir 2.92-2.93
Ir: 0.0000 0.5000 0.5000 (multiplicity 9)  6 Tm 2.92-2.93, 2 Dy 2.93


First-principles (PBE-GGA) data for a geometry-optimized DyTm3Ir2 structure, as listed in the Alexandria database.

Computed properties:
Electronic total energy: -6.7343 eV per atom
ρ: 12.319 g/cm³
Density of states at the Fermi level: 11.4 states/eV per cell
Excess energy over the best structure of this formula in the dataset: 0.00 eV per formula unit
Total magnetic moment: 0.00 μB per formula unit

abc: 4.5405 8.7048 7.1873
angles: 90.00 90.00 90.00
With the nearest neighbours (Å) after each atom.
Space group Pmc2_1 (No. 26)
Inequivalent atoms, fractional coordinates:
Dy: 0.0000 0.0864 0.0000 (multiplicity 2)  3 Ir 2.82-2.98
Tm: 0.0000 0.3295 0.6316 (multiplicity 2)  4 Ir 2.85-2.91
Tm: 0.5000 0.1734 0.3479 (multiplicity 2)  4 Ir 2.85-2.96
Tm: 0.5000 0.4131 0.9789 (multiplicity 2)  3 Ir 2.81-2.98
Ir: 0.0000 0.3467 0.2343 (multiplicity 2)  1 Dy 2.82, 6 Tm 2.85-2.98
Ir: 0.5000 0.1555 0.7440 (multiplicity 2)  5 Tm 2.81-2.96, 2 Dy 2.98


First-principles (PBE-GGA) data for a geometry-optimized DyTmIr structure, as listed in the Alexandria database.

Computed properties:
Electronic total energy: -6.7023 eV per atom
ρ: 12.251 g/cm³
Density of states at the Fermi level: 19.5 states/eV per cell
Excess energy over the best structure of this formula in the dataset: 0.04 eV per formula unit
Total magnetic moment: 0.00 μB per formula unit

abc: 4.4993 12.8181 7.3840
angles: 90.00 90.00 90.00
With the nearest neighbours (Å) after each atom.
Space group Amm2 (No. 38)
Inequivalent atoms, fractional coordinates:
Dy: 0.0000 0.0000 0.0000 (multiplicity 2)  5 Ir 3.03-3.17, 2 Tm 3.32
Dy: 0.0000 0.2053 0.6165 (multiplicity 4)  5 Ir 3.04-3.17, 2 Tm 3.32
Tm: 0.5000 0.0000 0.6696 (multiplicity 2)  4 Ir 2.78-2.95
Tm: 0.5000 0.1292 0.2812 (multiplicity 4)  4 Ir 2.78-2.95
Ir: 0.0000 0.0000 0.4106 (multiplicity 2)  6 Tm 2.95, 3 Dy 3.03-3.04
Ir: 0.5000 0.1669 0.9104 (multiplicity 4)  3 Tm 2.78


First-principles (PBE-GGA) data for a geometry-optimized DyTm2Ir structure, as listed in the Alexandria database.

Computed properties:
Electronic total energy: -6.1817 eV per atom
ρ: 11.070 g/cm³
Density of states at the Fermi level: 17.0 states/eV per cell
Excess energy over the best structure of this formula in the dataset: 0.14 eV per formula unit
Total magnetic moment: 0.00 μB per formula unit

abc: 3.8731 11.9708 8.9628
angles: 90.00 90.00 90.00
With the nearest neighbours (Å) after each atom.
Space group Cmcm (No. 63)
Inequivalent atoms, fractional coordinates:
Dy: 0.0000 0.0721 0.2500 (multiplicity 4)  2 Ir 2.85
Tm: 0.0000 0.3572 0.0659 (multiplicity 8)  3 Ir 2.87-3.09
Ir: 0.0000 0.2531 0.7500 (multiplicity 4)  2 Dy 2.85, 6 Tm 2.87-3.09


First-principles (PBE-GGA) data for a geometry-optimized DyTm8Ir6 structure, as listed in the Alexandria database.

Computed properties:
Electronic total energy: -7.0889 eV per atom
ρ: 12.888 g/cm³
Density of states at the Fermi level: 24.1 states/eV per cell
Total magnetic moment: 0.00 μB per formula unit

abc: 8.1915 8.1915 17.7416
angles: 90.00 90.00 120.00
With the nearest neighbours (Å) after each atom.
Space group R-3 (No. 148, hexagonal axes)
Inequivalent atoms, fractional coordinates:
Dy: 0.0000 0.0000 0.0000 (multiplicity 3)  6 Ir 2.92
Tm: 0.0000 0.0000 0.3338 (multiplicity 6)  6 Ir 2.90-2.91
Tm: 0.0013 0.3324 0.2212 (multiplicity 18)  5 Ir 2.88-3.00
Ir: 0.0002 0.3344 0.0569 (multiplicity 18)  7 Tm 2.88-3.00, 1 Dy 2.92


First-principles (PBE-GGA) data for a geometry-optimized Dy3TmIr3 structure, as listed in the Alexandria database.

Computed properties:
Electronic total energy: -7.1593 eV per atom
ρ: 12.962 g/cm³
Density of states at the Fermi level: 18.8 states/eV per cell
Excess energy over the best structure of this formula in the dataset: 0.00 eV per formula unit
Total magnetic moment: 0.00 μB per formula unit

abc: 9.6095 9.6095 5.9261
angles: 90.00 90.00 120.00
With the nearest neighbours (Å) after each atom.
Space group R-3m (No. 166, hexagonal axes)
Inequivalent atoms, fractional coordinates:
Dy: 0.0000 0.5000 0.0000 (multiplicity 9)  6 Ir 2.94-2.96
Tm: 0.0000 0.0000 0.0000 (multiplicity 3)  6 Ir 2.94
Ir: 0.0000 0.5000 0.5000 (multiplicity 9)  6 Dy 2.94-2.96, 2 Tm 2.94


First-principles (PBE-GGA) data for a geometry-optimized Dy4TmIr5 structure, as listed in the Alexandria database.

Computed properties:
Electronic total energy: -7.5452 eV per atom
ρ: 14.831 g/cm³
Density of states at the Fermi level: 3.4 states/eV per cell
Total magnetic moment: 0.00 μB per formula unit

abc: 3.3439 3.3439 17.8236
angles: 90.00 90.00 90.00
With the nearest neighbours (Å) after each atom.
Space group P4/mmm (No. 123)
Inequivalent atoms, fractional coordinates:
Dy: 0.0000 0.0000 0.1006 (multiplicity 2)  8 Ir 2.97
Dy: 0.0000 0.0000 0.3016 (multiplicity 2)  8 Ir 2.96-2.97
Tm: 0.0000 0.0000 0.5000 (multiplicity 1)  8 Ir 2.93
Ir: 0.5000 0.5000 0.0000 (multiplicity 1)  8 Dy 2.97
Ir: 0.5000 0.5000 0.2013 (multiplicity 2)  8 Dy 2.96-2.97
Ir: 0.5000 0.5000 0.4028 (multiplicity 2)  4 Tm 2.93, 4 Dy 2.97


First-principles (PBE-GGA) data for a geometry-optimized Dy2Tm3Ir2 structure, as listed in the Alexandria database.

Computed properties:
Electronic total energy: -6.4280 eV per atom
ρ: 11.298 g/cm³
Density of states at the Fermi level: 12.8 states/eV per cell
Total magnetic moment: 0.00 μB per formula unit

abc: 11.9067 3.8161 8.7721
angles: 90.00 116.24 90.00
With the nearest neighbours (Å) after each atom.
Space group C2/m (No. 12)
Inequivalent atoms, fractional coordinates:
Dy: 0.1660 0.0000 0.3061 (multiplicity 4)  2 Ir 2.83
Tm: 0.0000 0.5000 0.5000 (multiplicity 2)  4 Ir 2.91
Tm: 0.1196 0.5000 0.9316 (multiplicity 4)  3 Ir 2.83-2.86
Ir: 0.1748 0.0000 0.7360 (multiplicity 4)  2 Dy 2.83, 5 Tm 2.83-2.91


First-principles (PBE-GGA) data for a geometry-optimized DyTmIr structure, as listed in the Alexandria database.

Computed properties:
Electronic total energy: -6.5829 eV per atom
ρ: 11.628 g/cm³
Density of states at the Fermi level: 6.5 states/eV per cell
Excess energy over the best structure of this formula in the dataset: 0.40 eV per formula unit
Total magnetic moment: 0.00 μB per formula unit

abc: 3.4424 3.4424 12.6216
angles: 90.00 90.00 90.00
With the nearest neighbours (Å) after each atom.
Space group I4mm (No. 107)
Inequivalent atoms, fractional coordinates:
Dy: 0.0000 0.0000 0.0000 (multiplicity 2)  4 Ir 2.94, 1 Tm 3.24
Tm: 0.0000 0.0000 0.7433 (multiplicity 2)  4 Ir 2.91, 1 Dy 3.24
Ir: 0.0000 0.0000 0.3691 (multiplicity 2)  4 Tm 2.91, 4 Dy 2.94


First-principles (PBE-GGA) data for a geometry-optimized Dy2TmIr structure, as listed in the Alexandria database.

Computed properties:
Electronic total energy: -6.0120 eV per atom
ρ: 10.834 g/cm³
Density of states at the Fermi level: 5.3 states/eV per cell
Excess energy over the best structure of this formula in the dataset: 0.87 eV per formula unit
Total magnetic moment: 0.18 μB per formula unit

abc: 3.4898 3.4898 8.6358
angles: 90.00 90.00 90.00
With the nearest neighbours (Å) after each atom.
Space group P4/mmm (No. 123)
Inequivalent atoms, fractional coordinates:
Dy: 0.0000 0.0000 0.1885 (multiplicity 2)  4 Ir 2.96, 1 Dy 3.26
Tm: 0.5000 0.5000 0.5000 (multiplicity 1)  4 Tm 3.49, 8 Dy 3.65
Ir: 0.5000 0.5000 0.0000 (multiplicity 1)  8 Dy 2.96


First-principles (PBE-GGA) data for a geometry-optimized Dy2Tm2Ir3 structure, as listed in the Alexandria database.

Computed properties:
Electronic total energy: -7.2532 eV per atom
ρ: 13.270 g/cm³
Density of states at the Fermi level: 6.3 states/eV per cell
Total magnetic moment: 0.00 μB per formula unit

abc: 8.2482 4.7658 8.3611
angles: 90.00 109.29 90.00
With the nearest neighbours (Å) after each atom.
Space group C2/m (No. 12)
Inequivalent atoms, fractional coordinates:
Dy: 0.1250 0.0000 0.3752 (multiplicity 4)  5 Ir 2.93-2.98
Tm: 0.1244 0.5000 0.8738 (multiplicity 4)  7 Ir 2.91-2.95
Ir: 0.0000 0.0000 0.0000 (multiplicity 2)  6 Tm 2.92-2.93, 2 Dy 2.96
Ir: 0.2489 0.5000 0.2471 (multiplicity 4)  4 Tm 2.91-2.95, 4 Dy 2.93-2.98